Ac2InPd6Pb | PBE | relaxed

For the volume, the calculation gives 1040.8 Å³/cell. The total magnetization is 0.0 μB/cell. The calculation puts the total energy at -4.7880 eV per atom. The energy of formation from the pure elements comes out at -0.2059 eV per atom.

The space group is Fm-3m (No. 225) and the conventional cell measures 10.134, 10.134 and 10.134 Å, with angles of 90.00, 90.00 and 90.00 degrees. The inequivalent atoms are Ac at (0.250, 0.250, 0.250), In at (0.000, 0.000, 0.000), Pd at (0.000, 0.000, 0.247) and Pb at (0.000, 0.000, 0.500).